No. 1
VASP calculation (PBE-GGA) on crystalline Hf2As2Pb at its relaxed geometry.

Computed properties:
The calculation puts the density of states at the Fermi level at 0.7462 states/eV per atom. For the offset from the most stable computed form, the calculation gives 0.000 eV/atom. Its magnetic moment is 0.00 μB per formula unit. Its space-group type is P4/mbm, No. 127. For the formation energy, the calculation gives -0.481 eV per atom. As for the electronic total energy: -7.06 eV/atom.

Lattice parameters (Å, degrees): 7.7365 7.7365 3.5113 90.00 90.00 90.00
With the nearest neighbours (Å) after each atom.
Positions (direct):
Hf  0.1482  0.3518  0.0000  6 As 2.85-2.89, 2 Pb 2.95
Hf  0.3518  0.8518  0.0000  6 As 2.85-2.89, 2 Pb 2.95
Hf  0.6482  0.1482  0.0000  6 As 2.85-2.89, 2 Pb 2.95
Hf  0.8518  0.6482  0.0000  6 As 2.85-2.89, 2 Pb 2.95
As  0.1418  0.6418  0.5000  6 Hf 2.85-2.89, 1 As 3.10
As  0.3582  0.1418  0.5000  6 Hf 2.85-2.89, 1 As 3.10
As  0.6418  0.8582  0.5000  6 Hf 2.85-2.89, 1 As 3.10
As  0.8582  0.3582  0.5000  6 Hf 2.85-2.89, 1 As 3.10
Pb  0.0000  0.0000  0.0000  4 Hf 2.95
Pb  0.5000  0.5000  0.0000  4 Hf 2.95


No. 2
VASP calculation (PBE-GGA) on crystalline ZnMo2H at its relaxed geometry.

Computed properties:
The calculation puts the density of states at the Fermi level at 0.9977 states/eV per atom. For the offset from the most stable computed form, the calculation gives 0.307 eV/atom. Its magnetic moment is 0.00 μB per formula unit. Its space-group type is R-3m, No. 166. As for the electronic total energy: -6.11 eV/atom.

Lattice parameters (Å, degrees): 7.9130 7.9130 7.9130 20.54 20.54 20.54
With the nearest neighbours (Å) after each atom.
Positions (direct):
Zn  0.0000  0.0000  0.0000  2 Mo 2.68, 6 Zn 2.82
Mo  0.1154  0.1154  0.1154  3 H 2.02
Mo  0.8846  0.8846  0.8846  3 H 2.02
H  0.5000  0.5000  0.5000  6 Mo 2.02


No. 3
VASP calculation (PBE-GGA) on crystalline K2Mo2S at its relaxed geometry.

Computed properties:
The calculation puts the density of states at the Fermi level at 0.7698 states/eV per atom. For the offset from the most stable computed form, the calculation gives 0.000 eV/atom. Its magnetic moment is 0.14 μB per formula unit. Its space-group type is P4/mbm, No. 127. As for the electronic total energy: -5.04 eV/atom.

Lattice parameters (Å, degrees): 6.1991 6.1991 6.1326 90.00 90.00 90.00
With the nearest neighbours (Å) after each atom.
Positions (direct):
K  0.1822  0.3178  0.0000  5 K 3.19-3.21, 2 Mo 3.45
K  0.3178  0.8178  0.0000  5 K 3.19-3.21, 2 Mo 3.45
K  0.6822  0.1822  0.0000  5 K 3.19-3.21, 2 Mo 3.45
K  0.8178  0.6822  0.0000  5 K 3.19-3.21, 2 Mo 3.45
Mo  0.1373  0.6373  0.5000  2 S 2.40, 1 Mo 2.41
Mo  0.3627  0.1373  0.5000  2 S 2.40, 1 Mo 2.41
Mo  0.6373  0.8627  0.5000  2 S 2.40, 1 Mo 2.41
Mo  0.8627  0.3627  0.5000  2 S 2.40, 1 Mo 2.41
S  0.0000  0.0000  0.5000  4 Mo 2.40
S  0.5000  0.5000  0.5000  4 Mo 2.40


No. 4
VASP calculation (PBE-GGA) on crystalline RbMgBe at its relaxed geometry.

Computed properties:
The calculation puts the density of states at the Fermi level at 0.7129 states/eV per atom. For the offset from the most stable computed form, the calculation gives 0.093 eV/atom. Its magnetic moment is 0.00 μB per formula unit. Its space-group type is P-1, No. 2. For the formation energy, the calculation gives 0.434 eV per atom. As for the electronic total energy: -1.66 eV/atom.

Lattice parameters (Å, degrees): 4.9960 4.9961 10.6453 93.68 93.98 103.27
With the nearest neighbours (Å) after each atom.
Positions (direct):
Rb  0.2221  0.2187  0.2990  2 Be 3.41-3.55
Rb  0.7779  0.7813  0.7010  2 Be 3.41-3.55
Mg  0.3037  0.6962  0.0000  4 Be 2.59-2.62
Mg  0.6963  0.3038  0.0000  4 Be 2.59-2.62
Be  0.1552  0.1555  0.9772  1 Be 2.04
Be  0.8448  0.8445  0.0228  1 Be 2.04


No. 5
VASP calculation (PBE-GGA) on crystalline Pm5Y2Ho12 at its relaxed geometry.

Computed properties:
The calculation puts the density of states at the Fermi level at 1.3828 states/eV per atom. For the offset from the most stable computed form, the calculation gives 0.000 eV/atom. Its magnetic moment is 0.00 μB per formula unit. Its space-group type is P-1, No. 2. For the formation energy, the calculation gives 0.020 eV per atom. As for the electronic total energy: -4.80 eV/atom.

Lattice parameters (Å, degrees): 7.9615 8.7182 9.4312 90.04 94.82 111.30
With the nearest neighbours (Å) after each atom.
Positions (direct):
Pm  0.0000  0.0000  0.0000  4 Pm 3.56-3.57, 8 Ho 3.57-3.58
Pm  0.1584  0.0521  0.3684  9 Ho 3.55-3.58, 2 Pm 3.57, 1 Y 3.57
Pm  0.2616  0.4211  0.9473  8 Ho 3.55-3.58, 2 Pm 3.56-3.59, 2 Y 3.58
Pm  0.7383  0.5789  0.0527  8 Ho 3.55-3.58, 2 Pm 3.56-3.59, 2 Y 3.58
Pm  0.8416  0.9479  0.6316  9 Ho 3.55-3.58, 2 Pm 3.57, 1 Y 3.57
Y  0.4212  0.4738  0.3167  1 Y 3.55, 8 Ho 3.55-3.58, 3 Pm 3.57-3.58
Y  0.5788  0.5262  0.6833  1 Y 3.55, 8 Ho 3.55-3.58, 3 Pm 3.57-3.58
Ho  0.0545  0.6840  0.7876  7 Ho 3.53-3.59, 4 Pm 3.55-3.58, 1 Y 3.58
Ho  0.1037  0.3691  0.5791  7 Ho 3.53-3.58, 3 Pm 3.56-3.58, 2 Y 3.57
Ho  0.2123  0.7371  0.1587  7 Ho 3.53-3.59, 1 Y 3.55, 4 Pm 3.55-3.57
Ho  0.3185  0.1059  0.7359  7 Ho 3.53-3.58, 1 Y 3.55, 4 Pm 3.56-3.58
Ho  0.3675  0.7894  0.5271  8 Ho 3.53-3.57, 2 Pm 3.55-3.57, 2 Y 3.56
Ho  0.4755  0.1579  0.1050  7 Ho 3.54-3.57, 4 Pm 3.56-3.58, 1 Y 3.57
Ho  0.5245  0.8421  0.8950  7 Ho 3.54-3.57, 4 Pm 3.56-3.58, 1 Y 3.57
Ho  0.6325  0.2106  0.4729  8 Ho 3.53-3.57, 2 Pm 3.55-3.57, 2 Y 3.56
Ho  0.6815  0.8941  0.2641  7 Ho 3.53-3.58, 1 Y 3.55, 4 Pm 3.56-3.58
Ho  0.7877  0.2629  0.8413  7 Ho 3.53-3.59, 1 Y 3.55, 4 Pm 3.55-3.57
Ho  0.8963  0.6309  0.4209  7 Ho 3.53-3.58, 3 Pm 3.56-3.58, 2 Y 3.57
Ho  0.9455  0.3160  0.2124  7 Ho 3.53-3.59, 4 Pm 3.55-3.58, 1 Y 3.58


No. 6
VASP calculation (PBE-GGA) on crystalline Rb2Al3InF12 at its relaxed geometry.

Computed properties:
The calculation puts the density of states at the Fermi level at 0.0000 states/eV per atom. Its magnetic moment is 0.00 μB per formula unit. Its space-group type is R-3m, No. 166. As for the electronic total energy: -5.34 eV/atom.

Lattice parameters (Å, degrees): 7.5200 7.5200 7.5200 56.78 56.78 56.78
With the nearest neighbours (Å) after each atom.
Positions (direct):
Rb  0.1239  0.1239  0.1239  3 F 2.85
Rb  0.8761  0.8761  0.8761  3 F 2.85
Al  0.0000  0.5000  0.5000  6 F 1.78-1.87
Al  0.5000  0.0000  0.5000  6 F 1.78-1.87
Al  0.5000  0.5000  0.0000  6 F 1.78-1.87
In  0.5000  0.5000  0.5000  6 F 2.69
F  0.0539  0.6131  0.6131  1 Al 1.78
F  0.2183  0.2183  0.5940  2 Al 1.87
F  0.2183  0.5940  0.2183  2 Al 1.87
F  0.3869  0.3869  0.9461  1 Al 1.78
F  0.3869  0.9461  0.3869  1 Al 1.78
F  0.4060  0.7817  0.7817  2 Al 1.87
F  0.5940  0.2183  0.2183  2 Al 1.87
F  0.6131  0.0539  0.6131  1 Al 1.78
F  0.6131  0.6131  0.0539  1 Al 1.78
F  0.7817  0.4060  0.7817  2 Al 1.87
F  0.7817  0.7817  0.4060  2 Al 1.87
F  0.9461  0.3869  0.3869  1 Al 1.78


No. 7
VASP calculation (PBE-GGA) on crystalline Y2BeTe2 at its relaxed geometry.

Computed properties:
The calculation puts the density of states at the Fermi level at 0.3993 states/eV per atom. For the offset from the most stable computed form, the calculation gives 0.304 eV/atom. Its magnetic moment is 0.00 μB per formula unit. Its space-group type is I4/mmm, No. 139. As for the electronic total energy: -4.76 eV/atom.

Lattice parameters (Å, degrees): 7.3293 7.3293 7.3293 137.82 137.82 61.19
With the nearest neighbours (Å) after each atom.
Positions (direct):
Y  0.2500  0.7500  0.5000  4 Te 2.99
Y  0.7500  0.2500  0.5000  4 Te 2.99
Be  0.0000  0.0000  0.0000  8 Y 4.11, 10 Te 4.11-4.57
Te  0.3623  0.3623  0.0000  4 Y 2.99
Te  0.6377  0.6377  0.0000  4 Y 2.99


No. 8
VASP calculation (PBE-GGA) on crystalline Ta2TlPb at its relaxed geometry.

Computed properties:
The calculation puts the density of states at the Fermi level at 0.7256 states/eV per atom. For the offset from the most stable computed form, the calculation gives 0.241 eV/atom. Its magnetic moment is 0.00 μB per formula unit. Its space-group type is Cm, No. 8. For the formation energy, the calculation gives 0.599 eV per atom. As for the electronic total energy: -6.85 eV/atom.

Lattice parameters (Å, degrees): 5.8383 5.8383 5.1178 110.61 110.61 32.88
With the nearest neighbours (Å) after each atom.
Positions (direct):
Ta  0.0000  0.0000  0.0000  2 Ta 2.70
Ta  0.6982  0.6982  0.2648  2 Ta 2.70
Tl  0.4629  0.4629  0.4679  7 Ta 3.06-3.21, 2 Tl 3.31, 3 Pb 3.37-3.41
Pb  0.2397  0.2397  0.8009  7 Ta 3.06-3.20, 2 Pb 3.31, 3 Tl 3.37-3.41


Question: Number 3 is which compound?
Answer: K2Mo2S


Question: Look up the electronic total energy of the seventh one.
Answer: -4.76 eV/atom